VASP calculation (GGA-PBE) on a geometry-optimized MnNbSi3 structure.

Cell and atoms, written as POSCAR:
```
MnNbSi3
1.0
4.798 0.000 0.000
0.000 4.798 0.000
0.000 0.000 4.798
Nb Si Mn
1 3 1
Direct
0.000 0.000 0.000
0.500 0.000 0.000
0.000 0.500 0.000
0.000 0.000 0.500
0.500 0.500 0.500
```

E above lowest polymorph   846.1 meV per atom
V   22.08 Å³ per atom
Space group   Pm-3m
Formation energy from raw total energies   1454 meV/atom
E   -5.648 eV/atom

VASP calculation (GGA-PBE) on a geometry-optimized AgH4Pt3 structure.

Cell and atoms, written as POSCAR:
```
AgH4Pt3
1.0
-2.402 -3.597 3.614
-2.137 -2.434 -3.842
4.634 -3.473 -0.377
Pt H Ag
6 8 2
Direct
0.016 0.674 0.759
0.516 0.326 0.259
0.516 0.326 0.741
0.016 0.674 0.241
0.523 0.813 0.000
0.023 0.187 0.500
0.208 0.785 0.000
0.920 0.845 0.500
0.700 0.633 0.219
0.700 0.633 0.781
0.200 0.367 0.281
0.708 0.215 0.500
0.420 0.155 0.000
0.200 0.367 0.719
0.432 0.833 0.500
0.932 0.167 0.000
```

E above lowest polymorph   0.0 meV per atom
V   10.27 Å³ per atom
Space group   Pmn2_1
E   -4.230 eV/atom

VASP calculation (GGA-PBE) on a geometry-optimized SiIr2Au structure.

Cell and atoms, written as POSCAR:
```
SiIr2Au
1.0
-0.343 5.252 0.810
-4.773 2.123 1.035
3.907 -3.335 1.406
Ir Si Au
2 1 1
Direct
0.959 0.959 0.000
0.541 0.541 0.000
0.750 0.250 0.500
0.250 0.750 0.500
```

V   15.11 Å³ per atom
Space group   Immm
Formation energy from raw total energies   -76 meV/atom
E   -6.682 eV/atom

VASP calculation (GGA-PBE) on a geometry-optimized Ac2ZrCuS5 structure.

Cell and atoms, written as POSCAR:
```
Ac2ZrCuS5
1.0
3.987 0.000 0.000
-1.994 8.524 0.000
0.000 0.000 11.978
Zr S Ac Cu
2 10 4 2
Direct
0.813 0.626 0.516
0.187 0.374 0.016
0.345 0.690 0.012
0.298 0.596 0.665
0.502 0.004 0.270
0.498 0.996 0.770
0.042 0.083 0.036
0.307 0.615 0.367
0.693 0.385 0.867
0.958 0.917 0.536
0.702 0.404 0.165
0.655 0.310 0.512
0.875 0.749 0.822
0.881 0.762 0.197
0.125 0.251 0.322
0.119 0.238 0.697
0.563 0.126 0.939
0.437 0.874 0.439
```

V   22.62 Å³ per atom
Space group   Cmc2_1
Formation energy from raw total energies   -1698 meV/atom
E   -6.309 eV/atom

VASP calculation (GGA-PBE) on a geometry-optimized Li2W3 structure.

Cell and atoms, written as POSCAR:
```
Li2W3
1.0
-3.652 -1.721 -0.513
3.005 -0.779 -2.632
1.458 -3.938 2.831
Li W
2 3
Direct
0.333 0.667 0.856
0.667 0.333 0.144
0.000 0.000 0.000
0.333 0.667 0.364
0.667 0.333 0.636
```

E above lowest polymorph   738.8 meV per atom
V   14.53 Å³ per atom
Space group   P-3m1
E   -7.282 eV/atom

VASP calculation (GGA-PBE) on a geometry-optimized SrGePd2 structure.

Cell and atoms, written as POSCAR:
```
SrGePd2
1.0
-2.351 1.947 -2.895
-1.882 -3.648 -0.925
-6.875 1.820 6.807
Ge Pd Sr
2 4 2
Direct
0.000 0.500 0.355
0.500 0.000 0.645
0.500 0.000 0.898
0.000 0.500 0.102
0.500 0.500 0.500
0.000 0.000 0.500
0.000 0.500 0.789
0.500 0.000 0.211
```

V   21.78 Å³ per atom
Space group   P4/nmm
E   -4.763 eV/atom

VASP calculation (GGA-PBE) on a geometry-optimized K3TeH structure.

Cell and atoms, written as POSCAR:
```
K3TeH
1.0
-0.546 2.177 5.337
-3.250 -4.504 -1.636
7.839 -6.982 3.650
Te H K
2 2 6
Direct
0.333 0.667 0.750
0.667 0.333 0.250
0.000 0.000 0.000
0.000 0.000 0.500
0.667 0.333 0.930
0.000 0.000 0.750
0.000 0.000 0.250
0.333 0.667 0.070
0.333 0.667 0.430
0.667 0.333 0.570
```

E above lowest polymorph   97.9 meV per atom
V   32.26 Å³ per atom
Space group   P6_3/mmc
E   -2.566 eV/atom

VASP calculation (GGA-PBE) on a geometry-optimized Na5DyO4 structure.

Cell and atoms, written as POSCAR:
```
Na5DyO4
1.0
-0.857 -2.930 1.798
4.728 -3.168 -2.909
2.180 4.785 5.345
Na O Dy
5 4 1
Direct
0.827 0.591 0.653
0.173 0.409 0.347
0.827 0.062 0.653
0.500 0.500 0.000
0.173 0.938 0.347
0.684 0.184 0.369
0.316 0.816 0.631
0.000 0.237 0.000
0.000 0.763 0.000
0.500 0.000 0.000
```

V   14.83 Å³ per atom
Space group   Immm
Formation energy from raw total energies   -1796 meV/atom
E   -4.899 eV/atom

VASP calculation (GGA-PBE) on a geometry-optimized AlAu3 structure.

Cell and atoms, written as POSCAR:
```
AlAu3
1.0
-1.683 1.088 4.815
-4.276 0.749 2.890
-1.083 -3.925 2.151
Au Al
3 1
Direct
0.500 0.500 0.500
0.721 0.721 0.774
0.279 0.279 0.226
0.000 0.000 0.000
```

V   17.38 Å³ per atom
Space group   C2/m
E   -3.622 eV/atom

VASP calculation (GGA-PBE) on a geometry-optimized Hf2Sc2As structure.

Cell and atoms, written as POSCAR:
```
Hf2Sc2As
1.0
7.014 0.000 0.000
0.000 7.014 0.000
0.000 0.000 4.650
As Sc Hf
2 4 4
Direct
0.000 0.000 0.000
0.500 0.500 0.000
0.350 0.150 0.500
0.150 0.650 0.500
0.850 0.350 0.500
0.650 0.850 0.500
0.648 0.148 0.000
0.852 0.648 0.000
0.352 0.852 0.000
0.148 0.352 0.000
```

V   22.87 Å³ per atom
Space group   P4/mbm
E   -7.664 eV/atom

VASP calculation (GGA-PBE) on a geometry-optimized Na4LiPb structure.

Cell and atoms, written as POSCAR:
```
Na4LiPb
1.0
-5.733 -2.381 -1.081
-0.998 -6.195 0.575
-3.450 -2.204 4.790
Na Li Pb
4 1 1
Direct
0.624 0.624 0.624
0.624 0.127 0.624
0.624 0.624 0.127
0.127 0.624 0.624
0.000 0.000 0.000
0.250 0.250 0.250
```

E above lowest polymorph   116.5 meV per atom
V   29.48 Å³ per atom
Space group   F-43m
E   -1.773 eV/atom

VASP calculation (GGA-PBE) on a geometry-optimized Tb3Ho2ScAs6 structure.

Cell and atoms, written as POSCAR:
```
Tb3Ho2ScAs6
1.0
4.088 0.000 0.000
0.000 8.163 0.294
-2.044 -2.348 8.585
As Tb Sc Ho
6 3 1 2
Direct
0.663 0.083 0.325
0.000 0.239 0.000
0.000 0.761 0.000
0.667 0.582 0.335
0.337 0.917 0.675
0.333 0.418 0.665
0.500 0.500 0.000
0.833 0.166 0.665
0.167 0.834 0.335
0.500 0.000 0.000
0.166 0.332 0.331
0.834 0.668 0.669
```

V   24.11 Å³ per atom
Space group   C2/m
E   -6.271 eV/atom